Record 1
Entry from Alexandria: a relaxed Ac2LaMg2Sn2 crystal (GGA-PBE).

Geometry as CIF:
```
data_Ac2LaMg2Sn2
_chemical_formula_sum 'Ac6 La3 Mg6 Sn6'
_cell_length_a 5.1305
_cell_length_b 5.1305
_cell_length_c 29.4166
_cell_angle_alpha 90.00
_cell_angle_beta 90.00
_cell_angle_gamma 120.00
_symmetry_space_group_name_H-M 'R -3 m'
_symmetry_Int_Tables_number 166
_symmetry_space_group_name_Hall '-R 3 2"'
loop_
_atom_site_label
_atom_site_type_symbol
_atom_site_fract_x
_atom_site_fract_y
_atom_site_fract_z
Ac1 Ac 0.0000 0.0000 0.1258
La1 La 0.0000 0.0000 0.0000
Mg1 Mg 0.0000 0.0000 0.3921
Sn1 Sn 0.0000 0.0000 0.2692
```

Output
formation enthalpy at 0 K: -237.9 kJ/mol of formula units

***

Record 2
Entry from Alexandria: a relaxed PuMgGaSi crystal (GGA-PBE).

Geometry as CIF:
```
data_PuMgGaSi
_chemical_formula_sum 'Pu4 Mg4 Ga4 Si4'
_cell_length_a 6.808
_cell_length_b 6.808
_cell_length_c 6.808
_cell_angle_alpha 90.00
_cell_angle_beta 90.00
_cell_angle_gamma 90.00
_symmetry_space_group_name_H-M 'F -4 3 m'
_symmetry_Int_Tables_number 216
_symmetry_space_group_name_Hall 'F -4 2 3'
loop_
_atom_site_label
_atom_site_type_symbol
_atom_site_fract_x
_atom_site_fract_y
_atom_site_fract_z
Pu1 Pu 0.000 0.000 0.000
Mg1 Mg 0.000 0.000 0.500
Ga1 Ga 0.250 0.250 0.750
Si1 Si 0.250 0.250 0.250
```

Output
formation energy without anion corrections: -87 kJ/mol of formula units

***

Record 3
Entry from Alexandria: a relaxed Mn2PPt crystal (GGA-PBE).

Geometry as CIF:
```
data_Mn2PPt
_chemical_formula_sum 'Mn8 P4 Pt4'
_cell_length_a 5.929
_cell_length_b 5.929
_cell_length_c 5.929
_cell_angle_alpha 90.00
_cell_angle_beta 90.00
_cell_angle_gamma 90.00
_symmetry_space_group_name_H-M 'F -4 3 m'
_symmetry_Int_Tables_number 216
_symmetry_space_group_name_Hall 'F -4 2 3'
loop_
_atom_site_label
_atom_site_type_symbol
_atom_site_fract_x
_atom_site_fract_y
_atom_site_fract_z
Mn1 Mn 0.000 0.000 0.000
Mn2 Mn 0.250 0.250 0.250
P1 P 0.000 0.000 0.500
Pt1 Pt 0.250 0.250 0.750
```

Output
formation enthalpy at 0 K: -4.7 kJ/mol of formula units

***

Record 4
Entry from Alexandria: a relaxed ScTlW crystal (GGA-PBE).

Geometry as CIF:
```
data_ScTlW
_chemical_formula_sum 'Sc2 Tl2 W2'
_cell_length_a 2.970
_cell_length_b 2.970
_cell_length_c 13.769
_cell_angle_alpha 90.00
_cell_angle_beta 90.00
_cell_angle_gamma 90.00
_symmetry_space_group_name_H-M 'I 4 m m'
_symmetry_Int_Tables_number 107
_symmetry_space_group_name_Hall 'I 4 -2'
loop_
_atom_site_label
_atom_site_type_symbol
_atom_site_fract_x
_atom_site_fract_y
_atom_site_fract_z
Sc1 Sc 0.000 0.000 0.000
Tl1 Tl 0.000 0.000 0.681
W1 W 0.000 0.000 0.347
```

Output
formation enthalpy at 0 K: 117.5 kJ/mol of formula units

***

Record 5
Entry from Alexandria: a relaxed Te2SeBr crystal (GGA-PBE).

Geometry as CIF:
```
data_Te2SeBr
_chemical_formula_sum 'Te2 Se1 Br1'
_cell_length_a 5.490
_cell_length_b 4.170
_cell_length_c 6.068
_cell_angle_alpha 90.00
_cell_angle_beta 105.19
_cell_angle_gamma 90.00
_symmetry_space_group_name_H-M 'P 1 m 1'
_symmetry_Int_Tables_number 6
_symmetry_space_group_name_Hall 'P -2y'
loop_
_atom_site_label
_atom_site_type_symbol
_atom_site_fract_x
_atom_site_fract_y
_atom_site_fract_z
Te1 Te 0.000 0.000 0.000
Te2 Te 0.403 0.500 0.176
Se1 Se 0.785 0.000 0.328
Br1 Br 0.400 0.500 0.674
```

Output
formation energy without anion corrections: -23 kJ/mol of formula units

***

Record 6
Entry from Alexandria: a relaxed RbCuHg crystal (GGA-PBE).

Geometry as CIF:
```
data_RbCuHg
_chemical_formula_sum 'Rb2 Cu2 Hg2'
_cell_length_a 4.390
_cell_length_b 6.810
_cell_length_c 7.238
_cell_angle_alpha 112.82
_cell_angle_beta 107.42
_cell_angle_gamma 90.07
_symmetry_space_group_name_H-M 'P -1'
_symmetry_Int_Tables_number 2
_symmetry_space_group_name_Hall '-P 1'
loop_
_atom_site_label
_atom_site_type_symbol
_atom_site_fract_x
_atom_site_fract_y
_atom_site_fract_z
Rb1 Rb 0.112 0.290 0.227
Cu1 Cu 0.220 0.911 0.440
Hg1 Hg 0.397 0.286 0.796
```

Output
formation enthalpy at 0 K: 8.3 kJ/mol of formula units

***

Record 7
Entry from Alexandria: a relaxed AlCdSe crystal (GGA-PBE).

Geometry as CIF:
```
data_AlCdSe
_chemical_formula_sum 'Al1 Cd1 Se1'
_cell_length_a 3.7498
_cell_length_b 3.7498
_cell_length_c 5.6105
_cell_angle_alpha 90.00
_cell_angle_beta 90.00
_cell_angle_gamma 120.00
_symmetry_space_group_name_H-M 'P 3 m 1'
_symmetry_Int_Tables_number 156
_symmetry_space_group_name_Hall 'P 3 -2"'
loop_
_atom_site_label
_atom_site_type_symbol
_atom_site_fract_x
_atom_site_fract_y
_atom_site_fract_z
Al1 Al 0.0000 0.0000 0.0000
Cd1 Cd 0.6667 0.3333 0.3410
Se1 Se 0.3333 0.6667 0.7565
```

Output
formation energy without anion corrections: -87 kJ/mol of formula units

***

Record 8
Entry from Alexandria: a relaxed CoAs2IBr crystal (GGA-PBE).

Geometry as CIF:
```
data_CoAs2IBr
_chemical_formula_sum 'Co1 As2 I1 Br1'
_cell_length_a 4.740
_cell_length_b 4.740
_cell_length_c 4.958
_cell_angle_alpha 90.00
_cell_angle_beta 90.00
_cell_angle_gamma 90.00
_symmetry_space_group_name_H-M 'P 4/m m m'
_symmetry_Int_Tables_number 123
_symmetry_space_group_name_Hall '-P 4 2'
loop_
_atom_site_label
_atom_site_type_symbol
_atom_site_fract_x
_atom_site_fract_y
_atom_site_fract_z
Co1 Co 0.000 0.000 0.000
As1 As 0.000 0.500 0.000
I1 I 0.500 0.500 0.500
Br1 Br 0.000 0.000 0.500
```

Output
formation energy without anion corrections: 178 kJ/mol of formula units

***

Record 9
Entry from Alexandria: a relaxed SrNiAs3 crystal (GGA-PBE).

Geometry as CIF:
```
data_SrNiAs3
_chemical_formula_sum 'Sr1 Ni1 As3'
_cell_length_a 4.793
_cell_length_b 4.793
_cell_length_c 4.793
_cell_angle_alpha 90.00
_cell_angle_beta 90.00
_cell_angle_gamma 90.00
_symmetry_space_group_name_H-M 'P m -3 m'
_symmetry_Int_Tables_number 221
_symmetry_space_group_name_Hall '-P 4 2 3'
loop_
_atom_site_label
_atom_site_type_symbol
_atom_site_fract_x
_atom_site_fract_y
_atom_site_fract_z
Sr1 Sr 0.000 0.000 0.000
Ni1 Ni 0.500 0.500 0.500
As1 As 0.000 0.500 0.500
```

Output
formation enthalpy at 0 K: -107.7 kJ/mol of formula units

***

Record 10
Entry from Alexandria: a relaxed Ac2Nd2Ru crystal (GGA-PBE).

Geometry as CIF:
```
data_Ac2Nd2Ru
_chemical_formula_sum 'Ac8 Nd8 Ru4'
_cell_length_a 5.126
_cell_length_b 5.126
_cell_length_c 26.293
_cell_angle_alpha 90.00
_cell_angle_beta 90.00
_cell_angle_gamma 90.00
_symmetry_space_group_name_H-M 'I 41/a m d'
_symmetry_Int_Tables_number 141
loop_
_symmetry_equiv_pos_as_xyz
'x,y,z'
'-x,-y,-z'
'-y+1/4,x+3/4,z+1/4'
'y+1/4,-x+3/4,-z+1/4'
'-x+1/2,-y,z+1/2'
'x+1/2,y,-z+1/2'
'y+1/4,-x+1/4,z+3/4'
'-y+1/4,x+1/4,-z+3/4'
'x,-y,-z'
'-x,y,z'
'-y+1/4,-x+1/4,-z+3/4'
'y+1/4,x+1/4,z+3/4'
'-x+1/2,y,-z+1/2'
'x+1/2,-y,z+1/2'
'y+1/4,x+3/4,-z+1/4'
'-y+1/4,-x+3/4,z+1/4'
'x+1/2,y+1/2,z+1/2'
'-x+1/2,-y+1/2,-z+1/2'
'-y+3/4,x+1/4,z+3/4'
'y+3/4,-x+1/4,-z+3/4'
'-x,-y+1/2,z'
'x,y+1/2,-z'
'y+3/4,-x+3/4,z+1/4'
'-y+3/4,x+3/4,-z+1/4'
'x+1/2,-y+1/2,-z+1/2'
'-x+1/2,y+1/2,z+1/2'
'-y+3/4,-x+3/4,-z+1/4'
'y+3/4,x+3/4,z+1/4'
'-x,y+1/2,-z'
'x,-y+1/2,z'
'y+3/4,x+1/4,-z+3/4'
'-y+3/4,-x+1/4,z+3/4'
loop_
_atom_site_label
_atom_site_type_symbol
_atom_site_fract_x
_atom_site_fract_y
_atom_site_fract_z
Ac1 Ac 0.000 0.250 0.062
Nd1 Nd 0.000 0.250 0.195
Ru1 Ru 0.000 0.250 0.375
```

Output
formation enthalpy at 0 K: 10.8 kJ/mol of formula units

***

Record 11
Entry from Alexandria: a relaxed LaZn2SiRh2 crystal (GGA-PBE).

Geometry as CIF:
```
data_LaZn2SiRh2
_chemical_formula_sum 'La1 Zn2 Si1 Rh2'
_cell_length_a 4.470
_cell_length_b 4.470
_cell_length_c 5.837
_cell_angle_alpha 90.00
_cell_angle_beta 90.00
_cell_angle_gamma 90.00
_symmetry_space_group_name_H-M 'P 4/m m m'
_symmetry_Int_Tables_number 123
_symmetry_space_group_name_Hall '-P 4 2'
loop_
_atom_site_label
_atom_site_type_symbol
_atom_site_fract_x
_atom_site_fract_y
_atom_site_fract_z
La1 La 0.000 0.000 0.000
Zn1 Zn 0.500 0.500 0.233
Si1 Si 0.000 0.000 0.500
Rh1 Rh 0.000 0.500 0.500
```

Output
formation energy without anion corrections: -271 kJ/mol of formula units

***

Record 12
Entry from Alexandria: a relaxed Ac12Sm7Er crystal (GGA-PBE).

Geometry as CIF:
```
data_Ac12Sm7Er
_chemical_formula_sum 'Ac36 Sm21 Er3'
_cell_length_a 20.7898
_cell_length_b 20.7898
_cell_length_c 6.6640
_cell_angle_alpha 90.00
_cell_angle_beta 90.00
_cell_angle_gamma 120.00
_symmetry_space_group_name_H-M 'R -3'
_symmetry_Int_Tables_number 148
_symmetry_space_group_name_Hall '-R 3'
loop_
_atom_site_label
_atom_site_type_symbol
_atom_site_fract_x
_atom_site_fract_y
_atom_site_fract_z
Ac1 Ac 0.9999 0.4125 0.4992
Ac2 Ac 0.1031 0.5513 0.9828
Sm1 Sm 0.0000 0.0000 0.5000
Sm2 Sm 0.0803 0.1610 0.8123
Er1 Er 0.0000 0.0000 0.0000
```

Output
formation enthalpy at 0 K: 367.7 kJ/mol of formula units

***

Record 13
Entry from Alexandria: a relaxed PrMg4Cd crystal (GGA-PBE).

Geometry as CIF:
```
data_PrMg4Cd
_chemical_formula_sum 'Pr2 Mg8 Cd2'
_cell_length_a 8.421
_cell_length_b 4.563
_cell_length_c 7.945
_cell_angle_alpha 90.00
_cell_angle_beta 90.00
_cell_angle_gamma 90.00
_symmetry_space_group_name_H-M 'P m m a'
_symmetry_Int_Tables_number 51
_symmetry_space_group_name_Hall '-P 2a 2a'
loop_
_atom_site_label
_atom_site_type_symbol
_atom_site_fract_x
_atom_site_fract_y
_atom_site_fract_z
Pr1 Pr 0.250 0.000 0.131
Mg1 Mg 0.000 0.000 0.500
Mg2 Mg 0.052 0.500 0.813
Mg3 Mg 0.250 0.500 0.448
Cd1 Cd 0.250 0.000 0.727
```

Output
formation enthalpy at 0 K: -67.0 kJ/mol of formula units